VASP calculation (GGA-PBE) on a relaxed structure of NaCuH6Pt.

Summary:
For the energy, the calculation gives -32.8 eV for the cell shown.

POSCAR file:
```
NaCuH6Pt
1.0
4.713 0.000 0.000
-2.356 4.082 0.000
0.000 0.000 4.879
Na Cu H Pt
1 1 6 1
Direct
0.000 0.000 0.000 Na
0.667 0.333 0.500 Cu
0.026 0.385 0.309 H
0.026 0.641 0.691 H
0.359 0.385 0.691 H
0.359 0.974 0.309 H
0.615 0.641 0.309 H
0.615 0.974 0.691 H
0.333 0.667 0.500 Pt
```